This record from Alexandria describes AgAsH3 after structural relaxation. The functional is PBE.

a b c (Å): 3.7843 3.7843 3.7843
angles (deg): 90.00 90.00 90.00
Closest atoms and distances in Å follow each position.
Element x y z (fractional)
H1 0.0000 0.5000 0.0000  2 As 1.89
H2 0.0000 0.0000 0.5000  2 As 1.89
H3 0.5000 0.0000 0.0000  2 As 1.89
As1 0.0000 0.0000 0.0000  6 H 1.89
Ag1 0.5000 0.5000 0.5000  12 H 2.68

Summary:
Space-group type   Pm-3m, No. 221
Energy above the lowest structure with this stoichiometry   0.0 meV per atom
Crystal system   cubic
E_tot   -14.3 eV/f.u.

=====

This record from Alexandria describes Ni12SnGe3 after structural relaxation. The functional is PBE.

a b c (Å): 3.6214 3.6214 14.4312
angles (deg): 90.00 90.00 90.00
Closest atoms and distances in Å follow each position.
Element x y z (fractional)
Ni1 0.5000 0.5000 0.0000  4 Sn 2.56, 8 Ni 2.65
Ni2 0.5000 0.5000 0.2558  8 Ni 2.52, 4 Ge 2.56
Ni3 0.5000 0.5000 0.5000  8 Ni 2.53, 4 Ge 2.56
Ni4 0.5000 0.5000 0.7442  8 Ni 2.52, 4 Ge 2.56
Ni5 0.5000 0.0000 0.1342  2 Ge 2.51, 8 Ni 2.52-2.65, 2 Sn 2.65
Ni6 0.5000 0.0000 0.3777  8 Ni 2.52-2.56, 4 Ge 2.53
Ni7 0.5000 0.0000 0.6223  8 Ni 2.52-2.56, 4 Ge 2.53
Ni8 0.5000 0.0000 0.8658  2 Ge 2.51, 8 Ni 2.52-2.65, 2 Sn 2.65
Ni9 0.0000 0.5000 0.1342  2 Ge 2.51, 8 Ni 2.52-2.65, 2 Sn 2.65
Ni10 0.0000 0.5000 0.3777  8 Ni 2.52-2.56, 4 Ge 2.53
Ni11 0.0000 0.5000 0.6223  8 Ni 2.52-2.56, 4 Ge 2.53
Ni12 0.0000 0.5000 0.8658  2 Ge 2.51, 8 Ni 2.52-2.65, 2 Sn 2.65
Sn1 0.0000 0.0000 0.0000  12 Ni 2.56-2.65
Ge1 0.0000 0.0000 0.2550  12 Ni 2.51-2.56
Ge2 0.0000 0.0000 0.5000  12 Ni 2.53-2.56
Ge3 0.0000 0.0000 0.7450  12 Ni 2.51-2.56

Summary:
Space-group type   P4/mmm, No. 123
E_form   -0.26 eV per atom
Crystal system   tetragonal
E_tot   -91.4 eV/f.u.

=====

This record from Alexandria describes Pm5YHo6 after structural relaxation. The functional is PBE.

a b c (Å): 5.0743 10.0870 9.4785
angles (deg): 122.15 105.54 90.00
Closest atoms and distances in Å follow each position.
Element x y z (fractional)
Y1 0.0000 0.0000 0.0000  8 Ho 3.57-3.58, 4 Pm 3.58
Ho1 0.8334 0.5837 0.6669  7 Pm 3.57-3.59, 1 Y 3.57, 4 Ho 3.59
Ho2 0.8335 0.0832 0.6669  7 Pm 3.57-3.59, 1 Y 3.57, 4 Ho 3.59
Ho3 0.5000 0.7502 0.0000  6 Pm 3.57-3.58, 2 Y 3.58, 4 Ho 3.59
Ho4 0.5000 0.2498 0.0000  6 Pm 3.57-3.58, 2 Y 3.58, 4 Ho 3.59
Ho5 0.1665 0.9168 0.3331  7 Pm 3.57-3.59, 1 Y 3.57, 4 Ho 3.59
Ho6 0.1666 0.4163 0.3331  7 Pm 3.57-3.59, 1 Y 3.57, 4 Ho 3.59
Pm1 0.6661 0.1662 0.3323  8 Ho 3.57-3.59, 2 Y 3.58, 2 Pm 3.59
Pm2 0.3331 0.3331 0.6661  8 Ho 3.57-3.58, 4 Pm 3.59
Pm3 0.0000 0.5000 0.0000  8 Ho 3.58, 4 Pm 3.59
Pm4 0.6669 0.6669 0.3339  8 Ho 3.57-3.58, 4 Pm 3.59
Pm5 0.3339 0.8338 0.6677  8 Ho 3.57-3.59, 2 Y 3.58, 2 Pm 3.59

Summary:
Space-group type   Immm, No. 71
E_form   0.02 eV per atom
Crystal system   orthorhombic
E_tot   -57.5 eV/f.u.

=====

This record from Alexandria describes Gd3CdNi after structural relaxation. The functional is PBE.

a b c (Å): 5.2690 5.2690 5.2690
angles (deg): 90.00 90.00 90.00
Closest atoms and distances in Å follow each position.
Element x y z (fractional)
Ni1 0.0000 0.0000 0.0000  6 Gd 2.63
Gd1 0.0000 0.5000 0.0000  2 Ni 2.63
Gd2 0.0000 0.0000 0.5000  2 Ni 2.63
Gd3 0.5000 0.0000 0.0000  2 Ni 2.63
Cd1 0.5000 0.5000 0.5000  12 Gd 3.73

Summary:
Space-group type   Pm-3m, No. 221
E_form   -0.13 eV per atom
Crystal system   cubic
E_tot   -49.6 eV/f.u.

=====

This record from Alexandria describes SrTm2Pt3 after structural relaxation. The functional is PBE.

a b c (Å): 3.4832 3.4832 10.8694
angles (deg): 90.00 90.00 90.00
Closest atoms and distances in Å follow each position.
Element x y z (fractional)
Sr1 0.5000 0.5000 0.5000  8 Pt 3.30, 4 Sr 3.48, 2 Tm 3.69
Tm1 0.5000 0.5000 0.8395  8 Pt 2.88-3.02
Tm2 0.5000 0.5000 0.1605  8 Pt 2.88-3.02
Pt1 0.0000 0.0000 0.0000  8 Tm 3.02, 2 Pt 3.24
Pt2 0.0000 0.0000 0.7021  4 Tm 2.88
Pt3 0.0000 0.0000 0.2979  4 Tm 2.88

Summary:
Space-group type   P4/mmm, No. 123
E_form   -1.14 eV per atom
Crystal system   tetragonal
E_tot   -35.6 eV/f.u.

=====

This record from Alexandria describes ScRu4Rh after structural relaxation. The functional is PBE.

a b c (Å): 5.1129 5.1129 5.1129
angles (deg): 60.00 60.00 60.00
Closest atoms and distances in Å follow each position.
Element x y z (fractional)
Sc1 0.7500 0.7500 0.7500  12 Ru 3.00, 4 Rh 3.13
Ru1 0.8765 0.3745 0.3745  6 Ru 2.55-2.57
Ru2 0.3745 0.3745 0.8765  6 Ru 2.55-2.57
Ru3 0.3745 0.8765 0.3745  6 Ru 2.55-2.57
Ru4 0.3745 0.3745 0.3745  6 Ru 2.55-2.57
Rh1 0.0000 0.0000 0.0000  12 Ru 3.00, 4 Sc 3.13

Summary:
Space-group type   F-43m, No. 216
E_form   0.11 eV per atom
Crystal system   cubic
E_tot   -50.2 eV/f.u.

=====

> E_tot of number 3 (Pm5YHo6)?

-57.5 eV/f.u.

=====

> Number 4 is which compound?

Gd3CdNi

=====

> What is the formula in the second record?

Ni12SnGe3

=====

> What is the E_tot in the sixth record?

-50.2 eV/f.u.